{
  "formula": "La2Y6Er3Sc",
  "functional": "PBE",
  "state": "relaxed",
  "lattice": [[6.163, -0.002, 0.004], [-3.081, 5.337, 0.004], [-1.033, -1.788, 11.627]],
  "species": ["La", "La", "Y", "Y", "Y", "Y", "Y", "Y", "Er", "Er", "Er", "Sc"],
  "fractional_positions": [[0.334, 0.666, 0.000], [0.666, 0.334, 0.000], [0.916, 0.586, 0.747], [0.754, 0.754, 0.253], [0.084, 0.414, 0.253], [0.586, 0.916, 0.747], [0.246, 0.246, 0.747], [0.414, 0.084, 0.253], [0.166, 0.834, 0.500], [0.834, 0.166, 0.500], [0.500, 0.500, 0.500], [0.000, 0.000, 0.000]],
  "energy_ev_per_atom": -5.69,
  "density_g_cm3": 5.9,
  "dos_at_fermi_per_ev_atom": 1.493
}